# 1
# SrTi2MoBr (PBE, optimized geometry)
data_SrTi2MoBr
_chemical_formula_sum 'Sr1 Ti2 Mo1 Br1'
_symmetry_space_group_name_H-M 'P 1'
_symmetry_Int_Tables_number 1
_cell_length_a 4.912
_cell_length_b 4.912
_cell_length_c 5.283
_cell_angle_alpha 90.00
_cell_angle_beta 90.00
_cell_angle_gamma 90.00
loop_
_symmetry_equiv_pos_as_xyz
'x,y,z'
loop_
_atom_site_label
_atom_site_type_symbol
_atom_site_fract_x
_atom_site_fract_y
_atom_site_fract_z
Sr1 Sr 0.000 0.000 0.000
Ti1 Ti 0.000 0.500 0.000
Ti2 Ti 0.500 0.000 0.000
Mo1 Mo 0.500 0.500 0.500
Br1 Br 0.000 0.000 0.500
# - total energy (eV for the cell shown) = -18.702

# 2
# Sr2MoWBr (PBE, optimized geometry)
data_Sr2MoWBr
_chemical_formula_sum 'Sr2 Mo1 W1 Br1'
_symmetry_space_group_name_H-M 'P 1'
_symmetry_Int_Tables_number 1
_cell_length_a 6.303
_cell_length_b 6.303
_cell_length_c 4.557
_cell_angle_alpha 90.00
_cell_angle_beta 90.00
_cell_angle_gamma 90.00
loop_
_symmetry_equiv_pos_as_xyz
'x,y,z'
loop_
_atom_site_label
_atom_site_type_symbol
_atom_site_fract_x
_atom_site_fract_y
_atom_site_fract_z
Sr1 Sr 0.000 0.500 0.000
Sr2 Sr 0.500 0.000 0.000
Mo1 Mo 0.000 0.000 0.500
W1 W 0.000 0.000 0.000
Br1 Br 0.500 0.500 0.500
# - total energy (eV for the cell shown) = -25.523

# 3
# TaMo2Br (PBE, optimized geometry)
data_TaMo2Br
_chemical_formula_sum 'Ta1 Mo2 Br1'
_symmetry_space_group_name_H-M 'P 1'
_symmetry_Int_Tables_number 1
_cell_length_a 2.972
_cell_length_b 2.972
_cell_length_c 9.048
_cell_angle_alpha 90.00
_cell_angle_beta 90.00
_cell_angle_gamma 113.83
loop_
_symmetry_equiv_pos_as_xyz
'x,y,z'
loop_
_atom_site_label
_atom_site_type_symbol
_atom_site_fract_x
_atom_site_fract_y
_atom_site_fract_z
Ta1 Ta 0.000 0.000 0.000
Mo1 Mo 0.000 0.000 0.538
Mo2 Mo 0.500 0.500 0.755
Br1 Br 0.500 0.500 0.242
# - total energy (eV for the cell shown) = -33.499
# - distance to the lowest polymorph of the same formula (eV per atom) = 0.067

# 4
# TaMo2Br (PBE, optimized geometry)
data_TaMo2Br
_chemical_formula_sum 'Ta1 Mo2 Br1'
_symmetry_space_group_name_H-M 'P 1'
_symmetry_Int_Tables_number 1
_cell_length_a 5.430
_cell_length_b 5.430
_cell_length_c 4.611
_cell_angle_alpha 114.46
_cell_angle_beta 114.46
_cell_angle_gamma 33.67
loop_
_symmetry_equiv_pos_as_xyz
'x,y,z'
loop_
_atom_site_label
_atom_site_type_symbol
_atom_site_fract_x
_atom_site_fract_y
_atom_site_fract_z
Ta1 Ta 0.000 0.000 0.000
Mo1 Mo 0.500 0.500 0.498
Mo2 Mo 0.755 0.755 0.270
Br1 Br 0.244 0.244 0.705
# - total energy (eV for the cell shown) = -32.624
# - distance to the lowest polymorph of the same formula (eV per atom) = 0.285

# 5
# Ta2MoBr (PBE, optimized geometry)
data_Ta2MoBr
_chemical_formula_sum 'Ta2 Mo1 Br1'
_symmetry_space_group_name_H-M 'P 1'
_symmetry_Int_Tables_number 1
_cell_length_a 4.936
_cell_length_b 4.936
_cell_length_c 3.099
_cell_angle_alpha 97.09
_cell_angle_beta 97.09
_cell_angle_gamma 105.08
loop_
_symmetry_equiv_pos_as_xyz
'x,y,z'
loop_
_atom_site_label
_atom_site_type_symbol
_atom_site_fract_x
_atom_site_fract_y
_atom_site_fract_z
Ta1 Ta 0.000 0.500 0.000
Ta2 Ta 0.500 0.000 0.000
Mo1 Mo 0.000 0.000 0.500
Br1 Br 0.500 0.500 0.500
# - total energy (eV for the cell shown) = -33.692
# - distance to the lowest polymorph of the same formula (eV per atom) = 0.356

# 6
# Ta2MoBr (PBE, optimized geometry)
data_Ta2MoBr
_chemical_formula_sum 'Ta2 Mo1 Br1'
_symmetry_space_group_name_H-M 'P 1'
_symmetry_Int_Tables_number 1
_cell_length_a 4.782
_cell_length_b 4.782
_cell_length_c 3.190
_cell_angle_alpha 90.00
_cell_angle_beta 90.00
_cell_angle_gamma 102.64
loop_
_symmetry_equiv_pos_as_xyz
'x,y,z'
loop_
_atom_site_label
_atom_site_type_symbol
_atom_site_fract_x
_atom_site_fract_y
_atom_site_fract_z
Ta1 Ta 0.000 0.500 0.000
Ta2 Ta 0.500 0.000 0.000
Mo1 Mo 0.000 0.000 0.500
Br1 Br 0.500 0.500 0.500
# - total energy (eV for the cell shown) = -33.663
# - distance to the lowest polymorph of the same formula (eV per atom) = 0.363

Number 1: N(E_F) 9.53 states/eV per cell. Number 2: N(E_F) 3.76 states/eV per cell. Number 3: N(E_F) 3.31 states/eV per cell. Number 4: N(E_F) 2.92 states/eV per cell. Number 5: N(E_F) 2.91 states/eV per cell. Number 6: N(E_F) 3.09 states/eV per cell.